First-principles (PBE) data for BaAlZn2Cu after structural relaxation, as listed in the Alexandria database.

Calculated values
As for the formation energy: -0.054 eV per atom. Its density of states at the Fermi level is 2.8 states/eV per cell. The calculation puts the raw total energy at -2.52 eV/atom.

Unit cell a=4.8701 b=4.8701 c=4.7681 alpha=90.00 beta=90.00 gamma=90.00
Closest atoms and distances in Å follow each position.
Space group P4/mmm (No. 123)
One atom of each set of equivalent atoms:
1 Ba 0.0000 0.0000 0.0000 x1  8 Zn 3.41, 4 Al 3.44
2 Al 0.5000 0.5000 0.0000 x1  2 Cu 2.38
3 Zn 0.0000 0.5000 0.5000 x2  2 Cu 2.44
4 Cu 0.5000 0.5000 0.5000 x1  2 Al 2.38, 4 Zn 2.44